1.
# V3IrS PBE-GGA relaxed
data_V3IrS
_chemical_formula_sum 'V3 Ir1 S1'
_space_group_name_H-M_alt 'P m -3 m'
_space_group_IT_number 221
_space_group_name_Hall '-P 4 2 3'
_cell_length_a 4.209
_cell_length_b 4.209
_cell_length_c 4.209
_cell_angle_alpha 90.00
_cell_angle_beta 90.00
_cell_angle_gamma 90.00
loop_
_atom_site_label
_atom_site_type_symbol
_atom_site_fract_x
_atom_site_fract_y
_atom_site_fract_z
V1 V 0.000 0.000 0.500
Ir1 Ir 0.500 0.500 0.500
S1 S 0.000 0.000 0.000
# polymorph energy (0 for the lowest one) = 0 meV/atom
# formation energy without anion corrections = 0.0902 eV per atom
# electronic total energy = -7.98 eV per atom

2.
# LiCeAu4 PBE-GGA relaxed
data_LiCeAu4
_chemical_formula_sum 'Li2 Ce2 Au8'
_space_group_name_H-M_alt 'C m m m'
_space_group_IT_number 65
_space_group_name_Hall '-C 2 2'
_cell_length_a 5.295
_cell_length_b 9.024
_cell_length_c 5.169
_cell_angle_alpha 90.00
_cell_angle_beta 90.00
_cell_angle_gamma 90.00
loop_
_atom_site_label
_atom_site_type_symbol
_atom_site_fract_x
_atom_site_fract_y
_atom_site_fract_z
Li1 Li 0.000 0.000 0.000
Ce1 Ce 0.000 0.500 0.500
Au1 Au 0.000 0.161 0.500
Au2 Au 0.000 0.322 0.000
# E_form = -0.48 eV per atom
# polymorph energy (0 for the lowest one) = 0 meV/atom
# electronic total energy = -3.97 eV per atom